Entry 1:
The following is a meta-GGA SCAN calculation of NbAlNiBr2 at its PBEsol-relaxed geometry, from Alexandria.

Results
Its formation energy (no corrections) is 753 meV per atom. The calculation puts the calculated density at 5.35 g cm⁻³. The density of states at the Fermi level is 3.1 states/eV/cell. As for the space group: No. 123.

Cell lengths 4.6194, 4.6194, 4.9261 Å; angles 90.00, 90.00, 90.00 degrees
Closest atoms and distances in Å follow each position.
Fractional coordinates of all 5 atoms:
Nb 0.0000 0.0000 0.0000  2 Ni 2.46
Al 0.5000 0.5000 0.0000  4 Nb 3.27, 8 Br 3.38
Ni 0.0000 0.0000 0.5000  4 Br 2.31, 2 Nb 2.46
Br 0.0000 0.5000 0.5000  2 Ni 2.31
Br 0.5000 0.0000 0.5000  2 Ni 2.31

---

Entry 2:
The following is a meta-GGA SCAN calculation of NdAl3Br12 at its PBEsol-relaxed geometry, from Alexandria.

Results
Its formation energy (no corrections) is -1448 meV per atom. The calculation puts the calculated density at 3.30 g cm⁻³. The density of states at the Fermi level is 0.0 states/eV/cell. As for the space group: No. 152.

Cell lengths 10.5745, 10.5745, 18.4454 Å; angles 90.00, 90.00, 120.00 degrees
Closest atoms and distances in Å follow each position.
Fractional coordinates of all 48 atoms:
Nd 0.0000 0.7415 0.1667  8 Br 2.93-3.08
Nd 0.2585 0.2585 0.5000  8 Br 2.93-3.08
Nd 0.7415 0.0000 0.8333  8 Br 2.93-3.08
Al 0.0000 0.0859 0.6667  4 Br 2.31-2.32
Al 0.0859 0.0000 0.3333  4 Br 2.31-2.32
Al 0.3000 0.6512 0.2315  4 Br 2.26-2.39
Al 0.3488 0.6487 0.5648  4 Br 2.26-2.39
Al 0.3513 0.7000 0.8982  4 Br 2.26-2.39
Al 0.6487 0.3488 0.4352  4 Br 2.26-2.39
Al 0.6512 0.3000 0.7685  4 Br 2.26-2.39
Al 0.7000 0.3513 0.1018  4 Br 2.26-2.39
Al 0.9141 0.9141 0.0000  4 Br 2.31-2.32
Br 0.0367 0.2261 0.7697  1 Al 2.32
Br 0.0589 0.1954 0.3675  1 Al 2.31
Br 0.0741 0.6036 0.2846  1 Al 2.39
Br 0.1365 0.9411 0.0341  1 Al 2.31
Br 0.1505 0.7105 0.8660  1 Al 2.26
Br 0.1895 0.9633 0.4363  1 Al 2.32
Br 0.1954 0.0589 0.6325  1 Al 2.31
Br 0.1971 0.6851 0.6369  1 Al 2.26
Br 0.2242 0.5136 0.4603  1 Al 2.37
Br 0.2261 0.0367 0.2303  1 Al 2.32
Br 0.2895 0.4400 0.1993  1 Al 2.26
Br 0.2894 0.7758 0.1270  1 Al 2.37
Br 0.3149 0.5120 0.9702  1 Al 2.26
Br 0.3964 0.4705 0.6179  1 Al 2.39
Br 0.4400 0.2895 0.8007  1 Al 2.26
Br 0.4705 0.3964 0.3821  1 Al 2.39
Br 0.4864 0.7106 0.7936  1 Al 2.37
Br 0.4880 0.8029 0.3035  1 Al 2.26
Br 0.5120 0.3149 0.0298  1 Al 2.26
Br 0.5136 0.2242 0.5397  1 Al 2.37
Br 0.5295 0.9259 0.9512  1 Al 2.39
Br 0.5600 0.8495 0.5327  1 Al 2.26
Br 0.6036 0.0741 0.7154  1 Al 2.39
Br 0.6851 0.1971 0.3631  1 Al 2.26
Br 0.7105 0.1505 0.1340  1 Al 2.26
Br 0.7106 0.4864 0.2064  1 Al 2.37
Br 0.7739 0.8105 0.1030  1 Al 2.32
Br 0.7758 0.2894 0.8730  1 Al 2.37
Br 0.8029 0.4880 0.6965  1 Al 2.26
Br 0.8046 0.8635 0.7008  1 Al 2.31
Br 0.8105 0.7739 0.8970  1 Al 2.32
Br 0.8495 0.5600 0.4673  1 Al 2.26
Br 0.8635 0.8046 0.2992  1 Al 2.31
Br 0.9259 0.5295 0.0488  1 Al 2.39
Br 0.9411 0.1365 0.9659  1 Al 2.31
Br 0.9633 0.1895 0.5637  1 Al 2.32

---

Entry 3:
The following is a meta-GGA SCAN calculation of AlNiBr2 at its PBEsol-relaxed geometry, from Alexandria.

Results
Its formation energy (no corrections) is 34 meV per atom. For the energy above the lowest structure with this stoichiometry, the calculation gives 8.68 kJ per mole of atoms. The calculation puts the calculated density at 4.72 g cm⁻³. The density of states at the Fermi level is 3.7 states/eV/cell. As for the space group: No. 65.

Cell lengths 3.4935, 6.1780, 8.0075 Å; angles 90.00, 90.00, 90.00 degrees
Closest atoms and distances in Å follow each position.
Fractional coordinates of all 8 atoms:
Al 0.0000 0.0000 0.0000  4 Br 2.94
Al 0.5000 0.5000 0.0000  4 Br 2.94
Ni 0.0000 0.0000 0.5000  4 Br 2.40
Ni 0.5000 0.5000 0.5000  4 Br 2.40
Br 0.0000 0.5000 0.2951  2 Ni 2.40
Br 0.0000 0.5000 0.7049  2 Ni 2.40
Br 0.5000 0.0000 0.2951  2 Ni 2.40
Br 0.5000 0.0000 0.7049  2 Ni 2.40

---

Entry 4:
The following is a meta-GGA SCAN calculation of AlNi2Br at its PBEsol-relaxed geometry, from Alexandria.

Results
Its formation energy (no corrections) is -119 meV per atom. For the energy above the lowest structure with this stoichiometry, the calculation gives 0.00 kJ per mole of atoms. The calculation puts the calculated density at 6.24 g cm⁻³. The density of states at the Fermi level is 1.7 states/eV/cell. As for the space group: No. 10.

Cell lengths 3.1727, 2.9455, 6.3883 Å; angles 90.00, 90.19, 90.00 degrees
Closest atoms and distances in Å follow each position.
Fractional coordinates of all 4 atoms:
Al 0.0000 0.0000 0.0000  8 Ni 2.48
Ni 0.4990 0.5000 0.8101  1 Ni 2.43, 2 Br 2.47, 4 Al 2.48
Ni 0.5010 0.5000 0.1899  1 Ni 2.43, 2 Br 2.47, 4 Al 2.48
Br 0.5000 0.0000 0.5000  4 Ni 2.47

---

Entry 5:
The following is a meta-GGA SCAN calculation of AlNi2Br at its PBEsol-relaxed geometry, from Alexandria.

Results
Its formation energy (no corrections) is 374 meV per atom. For the energy above the lowest structure with this stoichiometry, the calculation gives 47.63 kJ per mole of atoms. The calculation puts the calculated density at 6.80 g cm⁻³. The density of states at the Fermi level is 2.4 states/eV/cell. As for the space group: No. 119.

Cell lengths 3.5613, 3.5613, 8.6376 Å; angles 90.00, 90.00, 90.00 degrees
Closest atoms and distances in Å follow each position.
Fractional coordinates of all 8 atoms:
Al 0.0000 0.0000 0.0000  8 Ni 2.52-2.80, 4 Br 2.80
Al 0.5000 0.5000 0.5000  8 Ni 2.52-2.80, 4 Br 2.80
Ni 0.0000 0.0000 0.5000  4 Al 2.52, 4 Br 2.80, 4 Ni 2.80
Ni 0.0000 0.5000 0.7500  4 Br 2.52, 4 Ni 2.80, 4 Al 2.80
Ni 0.5000 0.0000 0.2500  4 Br 2.52, 4 Ni 2.80, 4 Al 2.80
Ni 0.5000 0.5000 0.0000  4 Al 2.52, 4 Br 2.80, 4 Ni 2.80
Br 0.0000 0.5000 0.2500  8 Ni 2.52-2.80, 4 Al 2.80
Br 0.5000 0.0000 0.7500  8 Ni 2.52-2.80, 4 Al 2.80

---

Entry 6:
The following is a meta-GGA SCAN calculation of AlNiBr2 at its PBEsol-relaxed geometry, from Alexandria.

Results
Its formation energy (no corrections) is -56 meV per atom. For the energy above the lowest structure with this stoichiometry, the calculation gives 0.00 kJ per mole of atoms. The calculation puts the calculated density at 4.78 g cm⁻³. The density of states at the Fermi level is 7.0 states/eV/cell. As for the space group: No. 166.

Cell lengths 3.5037, 3.5037, 24.0704 Å; angles 90.00, 90.00, 120.00 degrees
Closest atoms and distances in Å follow each position.
Fractional coordinates of all 12 atoms:
Al 0.0000 0.0000 0.0000  6 Br 3.26, 6 Al 3.50
Al 0.3333 0.6667 0.6667  6 Br 3.26, 6 Al 3.50
Al 0.6667 0.3333 0.3333  6 Br 3.26, 6 Al 3.50
Ni 0.0000 0.0000 0.5000  6 Br 2.49
Ni 0.3333 0.6667 0.1667  6 Br 2.49
Ni 0.6667 0.3333 0.8333  6 Br 2.49
Br 0.0000 0.0000 0.2270  3 Ni 2.49
Br 0.0000 0.0000 0.7730  3 Ni 2.49
Br 0.3333 0.6667 0.4396  3 Ni 2.49
Br 0.3333 0.6667 0.8937  3 Ni 2.49
Br 0.6667 0.3333 0.1063  3 Ni 2.49
Br 0.6667 0.3333 0.5604  3 Ni 2.49

---

Entry 7:
The following is a meta-GGA SCAN calculation of AlNi2Br at its PBEsol-relaxed geometry, from Alexandria.

Results
Its formation energy (no corrections) is 17 meV per atom. For the energy above the lowest structure with this stoichiometry, the calculation gives 13.14 kJ per mole of atoms. The calculation puts the calculated density at 6.71 g cm⁻³. The density of states at the Fermi level is 0.5 states/eV/cell. As for the space group: No. 123.

Cell lengths 3.0609, 3.0609, 5.9257 Å; angles 90.00, 90.00, 90.00 degrees
Closest atoms and distances in Å follow each position.
Fractional coordinates of all 4 atoms:
Al 0.0000 0.0000 0.0000  8 Ni 2.49
Ni 0.5000 0.5000 0.2083  1 Ni 2.47, 4 Al 2.49
Ni 0.5000 0.5000 0.7917  1 Ni 2.47, 4 Al 2.49
Br 0.0000 0.0000 0.5000  8 Ni 2.77, 2 Al 2.96, 4 Br 3.06

---

Entry 8:
The following is a meta-GGA SCAN calculation of Al2NiRuBr at its PBEsol-relaxed geometry, from Alexandria.

Results
Its formation energy (no corrections) is 1371 meV per atom. The calculation puts the calculated density at 5.15 g cm⁻³. The density of states at the Fermi level is 2.1 states/eV/cell. As for the space group: No. 123.

Cell lengths 4.7884, 4.7884, 4.1305 Å; angles 90.00, 90.00, 90.00 degrees
Closest atoms and distances in Å follow each position.
Fractional coordinates of all 5 atoms:
Al 0.0000 0.5000 0.0000  2 Br 2.39
Al 0.5000 0.0000 0.0000  2 Br 2.39
Ni 0.0000 0.0000 0.5000  2 Br 2.07
Ru 0.5000 0.5000 0.5000  8 Al 3.16, 4 Ni 3.39
Br 0.0000 0.0000 0.0000  2 Ni 2.07